! Sm2Er2Hg3 PBE-GGA optimized geometry; values from VASP
&SYSTEM
  ibrav = 0, nat = 7, ntyp = 3
/
ATOMIC_SPECIES
Sm 150.36 Sm.upf
Er 167.26 Er.upf
Hg 200.59 Hg.upf
ATOMIC_POSITIONS angstrom
Sm 0.0090 0.0000 3.2559
Sm 5.9890 0.0000 5.2777
Er 2.9945 0.0000 1.1214
Er 3.0035 0.0000 7.4122
Hg 0.0000 0.0000 0.0000
Hg 0.0020 0.0000 6.4401
Hg 5.9960 0.0000 2.0934
CELL_PARAMETERS angstrom
4.4877 -2.6036 0.0000
4.4877 2.6036 0.0000
-2.9775 0.0000 8.5336
! spin magnetization	0.23	μB/cell
! crystal system	monoclinic
! energy of formation	-2.216	eV/f.u.